[1]
The following is a DFT calculation (GGA-PBE) of crystalline InTc2P at its relaxed geometry.

a b c (Å): 2.979 2.979 8.187
angles (deg): 90.00 90.00 117.79
Element x y z (fractional)
Tc 0.000 0.000 0.790
Tc 0.000 0.000 0.210
P 0.500 0.500 0.000
In 0.500 0.500 0.500

Values from the calculation:
Total energy in eV per atom: -7.10
Energy above the lowest structure with this stoichiometry in eV/f.u.: 1.00
Energy of formation in eV/atom: 0.119

[2]
The following is a DFT calculation (GGA-PBE) of crystalline InTcP2 at its relaxed geometry.

a b c (Å): 6.043 6.043 6.043
angles (deg): 151.27 133.86 55.27
Element x y z (fractional)
P 0.573 0.573 0.000
P 0.927 0.927 0.000
Tc 0.750 0.250 0.500
In 0.250 0.750 0.500

Values from the calculation:
Total energy in eV per atom: -5.78
Energy of formation in eV/atom: 0.204

[3]
The following is a DFT calculation (GGA-PBE) of crystalline InTc2P at its relaxed geometry.

a b c (Å): 3.604 3.058 5.909
angles (deg): 77.12 90.00 90.00
Element x y z (fractional)
Tc 0.000 0.154 0.707
Tc 0.000 0.846 0.293
P 0.500 0.500 0.500
In 0.500 0.500 0.000

Values from the calculation:
Total energy in eV per atom: -7.26
Energy above the lowest structure with this stoichiometry in eV/f.u.: 0.37
Energy of formation in eV/atom: -0.037

[4]
The following is a DFT calculation (GGA-PBE) of crystalline InTcP3 at its relaxed geometry.

a b c (Å): 4.683 4.683 4.683
angles (deg): 90.00 90.00 90.00
Element x y z (fractional)
P 0.000 0.000 0.500
In 0.500 0.500 0.500
P 0.000 0.500 0.000
P 0.500 0.000 0.000
Tc 0.000 0.000 0.000

Values from the calculation:
Total energy in eV per atom: -5.44
Energy above the lowest structure with this stoichiometry in eV/f.u.: 0.00
Energy of formation in eV/atom: 0.427

[5]
The following is a DFT calculation (GGA-PBE) of crystalline InTcP2 at its relaxed geometry.

a b c (Å): 5.620 5.620 6.957
angles (deg): 66.18 66.18 90.00
Element x y z (fractional)
In 0.750 0.250 0.500
Tc 0.500 0.500 0.000
P 0.181 0.625 0.250
P 0.375 0.431 0.750
P 0.569 0.125 0.250
P 0.875 0.819 0.750
In 0.000 0.000 0.000
Tc 0.250 0.750 0.500

Values from the calculation:
Total energy in eV per atom: -5.98
Energy of formation in eV/atom: 0.005

[6]
The following is a DFT calculation (GGA-PBE) of crystalline InTc2P at its relaxed geometry.

a b c (Å): 5.110 5.110 2.948
angles (deg): 74.68 74.68 109.87
Element x y z (fractional)
P 0.500 0.500 0.500
In 0.000 0.000 0.500
Tc 0.500 0.000 0.000
Tc 0.000 0.500 0.000

Values from the calculation:
Total energy in eV per atom: -6.76
Energy above the lowest structure with this stoichiometry in eV/f.u.: 2.36
Energy of formation in eV/atom: 0.460

[7]
The following is a DFT calculation (GGA-PBE) of crystalline InTc2P at its relaxed geometry.

a b c (Å): 8.644 8.644 8.644
angles (deg): 19.92 19.92 19.92
Element x y z (fractional)
Tc 0.994 0.994 0.994
In 0.500 0.500 0.500
P 0.263 0.263 0.263
Tc 0.743 0.743 0.743

Values from the calculation:
Total energy in eV per atom: -7.13
Energy above the lowest structure with this stoichiometry in eV/f.u.: 0.89
Energy of formation in eV/atom: 0.093

[8]
The following is a DFT calculation (GGA-PBE) of crystalline InTcP2 at its relaxed geometry.

a b c (Å): 3.007 3.007 7.523
angles (deg): 90.00 90.00 90.00
Element x y z (fractional)
P 0.000 0.000 0.435
In 0.500 0.500 0.750
Tc 0.500 0.500 0.250
P 0.000 0.000 0.065

Values from the calculation:
Total energy in eV per atom: -6.10
Energy of formation in eV/atom: -0.114